Computed, not measured: a relaxed structure of Pr2Nd2SmMg at the PBE level of DFT.

## Properties
final energy = -4.06 eV/atom
density of states at the Fermi level = 17.64 states/eV per cell
space group = No. 72

a b c (Å): 6.913 6.497 10.301
angles (deg): 108.38 109.61 90.00
Atoms (fractional coordinates):
Pr (0.805, 0.154, 0.308)
Pr (0.503, 0.654, 0.308)
Pr (0.497, 0.346, 0.692)
Pr (0.195, 0.846, 0.692)
Nd (0.308, 0.152, 0.303)
Nd (0.692, 0.848, 0.697)
Nd (0.004, 0.348, 0.697)
Nd (0.996, 0.652, 0.303)
Sm (0.000, 0.750, 0.000)
Sm (0.000, 0.250, 0.000)
Mg (0.500, 0.750, 0.000)
Mg (0.500, 0.250, 0.000)